This record from Alexandria describes an optimized crystal structure of NaFeS2O8. The functional is PBE with a Hubbard U.

Energy above the most stable polymorph in this dataset in meV/atom: 0
Total moment in μB per formula unit: 5.00
Density of states at the Fermi level in states/eV/f.u.: 0.0

Structure (CIF):
```
data_NaFeS2O8
_chemical_formula_sum 'Na1 Fe1 S2 O8'
_cell_length_a 4.8581
_cell_length_b 4.8581
_cell_length_c 7.2802
_cell_angle_alpha 89.46
_cell_angle_beta 89.46
_cell_angle_gamma 65.08
_symmetry_space_group_name_H-M 'P 1'
_symmetry_Int_Tables_number 1
loop_
_symmetry_equiv_pos_as_xyz
'x,y,z'
loop_
_atom_site_label
_atom_site_fract_x
_atom_site_fract_y
_atom_site_fract_z
O1 0.2287 0.6947 0.7986
O2 0.3053 0.7713 0.2014
O3 0.7646 0.7646 0.0651
O4 0.7713 0.3053 0.2014
O5 0.2799 0.2799 0.5994
S1 0.3546 0.3546 0.7788
S2 0.6454 0.6454 0.2212
Fe1 0.0000 0.0000 0.0000
O6 0.6947 0.2287 0.7986
O7 0.2354 0.2354 0.9349
O8 0.7201 0.7201 0.4006
Na1 0.0000 0.0000 0.5000
```